Record 1
The following is a DFT calculation (GGA-PBE) of a relaxed structure of MgBr2O2.

## Properties
VASP energy: -15.95 eV/cell
symmetry: C2/m (12)
raw formation energy: -0.22 eV per atom

Geometry as POSCAR:
```
MgBr2O2
1.0
3.306 3.824 1.290
-3.306 3.824 1.290
0.000 1.847 4.857
Mg O Br
1 2 2
direct
0.000 0.000 0.000
0.291 0.709 0.000
0.709 0.291 0.000
0.784 0.784 0.716
0.216 0.216 0.284
```

Record 2
The following is a DFT calculation (GGA-PBE) of a relaxed structure of MgBr2O6.

## Properties
excess energy over the best structure of this formula in the dataset: 0.00 eV per formula unit
VASP energy: -39.00 eV/cell
symmetry: C2/m (12)
raw formation energy: -0.48 eV per atom

Geometry as POSCAR:
```
MgBr2O6
1.0
-3.942 -0.750 -3.121
1.279 -2.223 -4.389
-1.685 -6.366 0.452
O Mg Br
6 1 2
direct
0.840 0.359 0.747
0.224 0.224 0.056
0.359 0.840 0.747
0.641 0.160 0.253
0.776 0.776 0.944
0.160 0.641 0.253
0.000 0.000 0.000
0.726 0.726 0.721
0.274 0.274 0.279
```

Record 3
The following is a DFT calculation (GGA-PBE) of a relaxed structure of MgBr2O6.

## Properties
excess energy over the best structure of this formula in the dataset: 0.59 eV per formula unit
VASP energy: -76.83 eV/cell
symmetry: C2/c (15)
raw formation energy: -0.41 eV per atom

Geometry as POSCAR:
```
MgBr2O6
1.0
6.378 -0.334 -0.323
1.471 6.471 -0.562
1.471 -0.352 6.486
O Br Mg
12 4 2
direct
0.111 0.809 0.965
0.611 0.965 0.809
0.708 0.610 0.034
0.049 0.516 0.699
0.549 0.699 0.516
0.792 0.966 0.390
0.951 0.484 0.301
0.451 0.301 0.484
0.889 0.191 0.035
0.389 0.035 0.191
0.208 0.034 0.610
0.292 0.390 0.966
0.244 0.576 0.813
0.256 0.187 0.424
0.744 0.813 0.576
0.756 0.424 0.187
0.250 0.081 0.919
0.750 0.919 0.081
```

Record 4
The following is a DFT calculation (GGA-PBE) of a relaxed structure of MgBr2O6.

## Properties
excess energy over the best structure of this formula in the dataset: 0.49 eV per formula unit
VASP energy: -38.51 eV/cell
symmetry: C2/m (12)
raw formation energy: -0.42 eV per atom

Geometry as POSCAR:
```
MgBr2O6
1.0
-0.070 -4.127 -3.937
4.127 -0.263 -3.929
4.316 -4.690 1.295
O Br Mg
6 2 1
direct
0.763 0.296 0.208
0.763 0.763 0.208
0.296 0.763 0.208
0.237 0.237 0.792
0.704 0.237 0.792
0.237 0.704 0.792
0.642 0.642 0.089
0.358 0.358 0.911
0.000 0.000 0.000
```

Record 5
The following is a DFT calculation (GGA-PBE) of a relaxed structure of MgBrO.

## Properties
VASP energy: -25.39 eV/cell
symmetry: C2/m (12)
raw formation energy: -1.49 eV per atom

Geometry as POSCAR:
```
MgBrO
1.0
3.469 0.000 0.000
-1.734 3.087 0.027
0.000 -0.567 9.996
Br Mg O
2 2 2
direct
0.553 0.107 0.390
0.447 0.893 0.610
0.844 0.689 0.105
0.156 0.311 0.895
0.173 0.346 0.107
0.827 0.654 0.893
```

Record 6
The following is a DFT calculation (GGA-PBE) of a relaxed structure of MgBr2O5.

## Properties
VASP energy: -131.74 eV/cell
symmetry: Pbcn (60)
raw formation energy: -0.40 eV per atom

Geometry as POSCAR:
```
MgBr2O5
1.0
6.167 0.000 0.000
0.000 8.452 0.000
0.000 0.000 9.673
Br Mg O
8 4 20
direct
0.437 0.821 0.373
0.063 0.321 0.873
0.563 0.179 0.627
0.937 0.821 0.627
0.437 0.679 0.873
0.563 0.321 0.127
0.937 0.679 0.127
0.063 0.179 0.373
0.750 0.000 0.926
0.250 0.000 0.074
0.750 0.500 0.426
0.250 0.500 0.574
0.361 0.688 0.704
0.750 0.500 0.068
0.055 0.117 0.922
0.361 0.812 0.204
0.861 0.688 0.296
0.555 0.117 0.078
0.861 0.812 0.796
0.945 0.883 0.078
0.639 0.188 0.796
0.445 0.617 0.422
0.555 0.383 0.578
0.250 0.500 0.932
0.639 0.312 0.296
0.055 0.383 0.422
0.750 0.000 0.568
0.945 0.617 0.578
0.250 0.000 0.432
0.445 0.883 0.922
0.139 0.312 0.704
0.139 0.188 0.204
```

Record 7
The following is a DFT calculation (GGA-PBE) of a relaxed structure of Mg2BrO2.

## Properties
excess energy over the best structure of this formula in the dataset: 3.75 eV per formula unit
VASP energy: -40.27 eV/cell
symmetry: P4/mbm (127)
raw formation energy: -1.07 eV per atom

Geometry as POSCAR:
```
Mg2BrO2
1.0
7.030 0.000 0.000
0.000 7.030 0.000
0.000 0.000 2.894
Br O Mg
2 4 4
direct
0.000 0.000 0.000
0.500 0.500 0.000
0.887 0.613 0.000
0.113 0.387 0.000
0.613 0.113 0.000
0.387 0.887 0.000
0.874 0.374 0.500
0.374 0.126 0.500
0.126 0.626 0.500
0.626 0.874 0.500
```

Record 8
The following is a DFT calculation (GGA-PBE) of a relaxed structure of MgBr2O.

## Properties
excess energy over the best structure of this formula in the dataset: 2.48 eV per formula unit
VASP energy: -22.11 eV/cell
symmetry: I-42d (122)
raw formation energy: -0.29 eV per atom

Geometry as POSCAR:
```
MgBr2O
1.0
6.258 0.000 0.000
0.000 6.258 0.000
3.129 3.129 6.175
Br Mg O
4 2 2
direct
0.375 0.330 0.750
0.875 0.920 0.750
0.080 0.625 0.250
0.670 0.125 0.250
0.000 0.000 0.000
0.750 0.250 0.500
0.500 0.500 0.000
0.250 0.750 0.500
```

Record 9
The following is a DFT calculation (GGA-PBE) of a relaxed structure of MgBr2O.

## Properties
excess energy over the best structure of this formula in the dataset: 3.14 eV per formula unit
VASP energy: -10.39 eV/cell
symmetry: Fm-3m (225)
raw formation energy: -0.12 eV per atom

Geometry as POSCAR:
```
MgBr2O
1.0
-4.073 -2.074 1.563
-4.165 0.815 -2.308
-2.060 -3.525 -2.582
Br O Mg
2 1 1
direct
0.250 0.250 0.250
0.750 0.750 0.750
0.000 0.000 0.000
0.500 0.500 0.500
```

Record 10
The following is a DFT calculation (GGA-PBE) of a relaxed structure of MgBr3O.

## Properties
excess energy over the best structure of this formula in the dataset: 0.56 eV per formula unit
VASP energy: -11.23 eV/cell
symmetry: Pm-3m (221)
raw formation energy: 0.07 eV per atom

Geometry as POSCAR:
```
MgBr3O
1.0
4.795 0.000 0.000
0.000 4.795 0.000
0.000 0.000 4.795
Mg O Br
1 1 3
direct
0.500 0.500 0.500
0.000 0.000 0.000
0.000 0.500 0.000
0.500 0.000 0.000
0.000 0.000 0.500
```

Record 11
The following is a DFT calculation (GGA-PBE) of a relaxed structure of MgBr3O.

## Properties
excess energy over the best structure of this formula in the dataset: 0.00 eV per formula unit
VASP energy: -11.79 eV/cell
symmetry: Pm-3m (221)
raw formation energy: -0.04 eV per atom

Geometry as POSCAR:
```
MgBr3O
1.0
-3.409 2.771 -2.875
-3.899 -1.493 3.184
0.863 4.202 3.027
Br Mg O
3 1 1
direct
0.500 0.000 0.000
0.000 0.000 0.500
0.000 0.500 0.000
0.000 0.000 0.000
0.500 0.500 0.500
```

Record 12
The following is a DFT calculation (GGA-PBE) of a relaxed structure of MgBrO3.

## Properties
VASP energy: -18.21 eV/cell
symmetry: Pm-3m (221)
raw formation energy: -0.01 eV per atom

Geometry as POSCAR:
```
MgBrO3
1.0
3.896 0.000 0.000
0.000 3.896 0.000
0.000 0.000 3.896
Mg O Br
1 3 1
direct
0.000 0.000 0.000
0.000 0.500 0.000
0.500 0.000 0.000
0.000 0.000 0.500
0.500 0.500 0.500
```